(1)
VASP calculation (PBE) on a relaxed structure of SrAc2Zn4.

For the formation energy, the calculation gives -0.001 eV per atom. The density comes out at 6.0 g/cm3. The density of states at the Fermi level comes out at 20.03 states/eV/cell.

The structure belongs to space group R-3m (No. 166, hexagonal axes); the cell edges are 5.3800, 5.3800 and 26.4353 Å and the angles 90.00°, 90.00° and 120.00°. Symmetry generates all atoms from Sr at (0.0000, 0.0000, 0.0000), Ac at (0.0000, 0.0000, 0.2428), Zn at (0.0000, 0.0000, 0.1215) and Zn at (0.0000, 0.0000, 0.3807).

---

(2)
VASP calculation (PBE) on a relaxed structure of Li2Zn3Cu.

For the formation energy, the calculation gives -0.143 eV per atom. The density comes out at 5.2 g/cm3. The density of states at the Fermi level comes out at 6.41 states/eV/cell.

The structure belongs to space group C2/c (No. 15); the cell edges are 6.756, 7.558 and 6.959 Å and the angles 90.00°, 100.74° and 90.00°. Symmetry generates all atoms from Li at (0.126, 0.247, 0.126), Zn at (0.000, 0.088, 0.750), Zn at (0.235, 0.420, 0.504) and Cu at (0.000, 0.417, 0.750).

---

(3)
VASP calculation (PBE) on a relaxed structure of TbHo2Ga2Cu2.

For the formation energy, the calculation gives -0.398 eV per atom. The density comes out at 8.3 g/cm3. The density of states at the Fermi level comes out at 12.86 states/eV/cell.

The structure belongs to space group R-3m (No. 166, hexagonal axes); the cell edges are 4.3715, 4.3715 and 27.3571 Å and the angles 90.00°, 90.00° and 120.00°. Symmetry generates all atoms from Tb at (0.0000, 0.0000, 0.0000), Ho at (0.0000, 0.0000, 0.1241), Ga at (0.0000, 0.0000, 0.2629) and Cu at (0.0000, 0.0000, 0.3991).